{
  "formula": "Y4SiC",
  "functional": "PBE",
  "state": "relaxed",
  "cell": [[4.105, -6.947, 0.000], [4.105, 6.947, 0.000], [-3.633, 0.000, 5.197]],
  "species": ["Y", "Y", "Y", "Y", "Y", "Y", "Y", "Y", "Si", "Si", "C", "C"],
  "frac_coords": [[0.058, 0.654, 0.846], [0.193, 0.283, 0.713], [0.283, 0.193, 0.213], [0.346, 0.942, 0.654], [0.654, 0.058, 0.346], [0.717, 0.807, 0.787], [0.807, 0.717, 0.287], [0.942, 0.346, 0.154], [0.381, 0.619, 0.250], [0.619, 0.381, 0.750], [0.067, 0.933, 0.750], [0.933, 0.067, 0.250]],
  "spacegroup": "C2/c",
  "total_energy_ev_per_cell": -85.1,
  "formation_energy_uncorrected_ev_per_atom": -0.340,
  "total_magnetization_mub_per_fu": 1.33
}